First-principles (PBE) data for crystalline AlGaPb at its relaxed geometry, as listed in the Alexandria database.

Output
Energy relative to the elements ... 123 meV/atom
Uncorrected energy ... -20.217 eV/cell
Symmetry ... P1
Theoretical density ... 7.26 g/cm³
Energy relative to the lowest polymorph listed for this composition ... 0.14 eV/f.u.

a = 4.849 Å, b = 4.978 Å, c = 6.115 Å
α = 70.40°, β = 89.99°, γ = 89.99°
Fractional positions:
Al 0.000 0.000 0.000
Al 0.500 0.318 0.997
Ga 0.001 0.580 0.804
Ga 0.500 0.908 0.791
Pb 0.497 0.705 0.368
Pb 0.998 0.225 0.412

=====

First-principles (PBE) data for crystalline Al3GaPb at its relaxed geometry, as listed in the Alexandria database.

Output
Energy relative to the elements ... 467 meV/atom
Uncorrected energy ... -15.627 eV/cell
Symmetry ... Pm-3m
Theoretical density ... 4.92 g/cm³
Energy relative to the lowest polymorph listed for this composition ... 0.00 eV/f.u.

a = 4.941 Å, b = 4.941 Å, c = 4.941 Å
α = 90.00°, β = 90.00°, γ = 90.00°
Fractional positions:
Al 0.000 0.000 0.500
Al 0.000 0.500 0.000
Al 0.500 0.000 0.000
Ga 0.000 0.000 0.000
Pb 0.500 0.500 0.500

=====

First-principles (PBE) data for crystalline Al3GaPb at its relaxed geometry, as listed in the Alexandria database.

Output
Energy relative to the elements ... 1009 meV/atom
Uncorrected energy ... -12.917 eV/cell
Symmetry ... Pm-3m
Theoretical density ... 3.72 g/cm³
Energy relative to the lowest polymorph listed for this composition ... 2.71 eV/f.u.

a = 5.428 Å, b = 5.428 Å, c = 5.428 Å
α = 90.00°, β = 90.00°, γ = 90.00°
Fractional positions:
Al 0.000 0.000 0.500
Al 0.000 0.500 0.000
Al 0.500 0.000 0.000
Ga 0.500 0.500 0.500
Pb 0.000 0.000 0.000

=====

First-principles (PBE) data for crystalline AlGaPb at its relaxed geometry, as listed in the Alexandria database.

Output
Energy relative to the elements ... 120 meV/atom
Uncorrected energy ... -20.238 eV/cell
Symmetry ... Pm
Theoretical density ... 7.07 g/cm³
Energy relative to the lowest polymorph listed for this composition ... 0.13 eV/f.u.

a = 5.676 Å, b = 4.073 Å, c = 6.368 Å
α = 90.00°, β = 104.26°, γ = 90.00°
Fractional positions:
Al 0.000 0.000 0.000
Al 0.306 0.500 0.209
Ga 0.495 0.000 0.011
Ga 0.804 0.500 0.205
Pb 0.164 0.000 0.546
Pb 0.686 0.500 0.661